(1)
Computed, not measured: Bi3S after structural relaxation at the GGA-PBE level of DFT.

Results
Formation energy (no corrections)   0.156 eV/f.u.
Total magnetization   0.000 μB per atom
Space group   No. 25

Geometry as extended XYZ:
```
4
Lattice="4.570 0.000 0.000 0.000 6.328 0.000 0.000 0.000 4.493" Properties=species:S:1:pos:R:3 pbc="T T T"
Bi 0.000 0.000 0.000
Bi 0.000 3.164 0.524
Bi 2.285 0.000 2.394
S 2.285 3.164 2.125
```


(2)
Computed, not measured: CuSe2Cl after structural relaxation at the GGA-PBE level of DFT.

Results
Formation energy (no corrections)   -0.699 eV/f.u.
Total magnetization   0.000 μB per atom
Space group   No. 10

Geometry as extended XYZ:
```
4
Lattice="4.359 0.000 0.000 0.000 3.730 0.000 -1.755 0.000 5.284" Properties=species:S:1:pos:R:3 pbc="T T T"
Cu 0.000 0.000 0.000
Se 1.319 1.865 0.808
Se 1.285 1.865 4.475
Cl -0.878 0.000 2.642
```


(3)
Computed, not measured: Al5Ga2Ag12 after structural relaxation at the GGA-PBE level of DFT.

Results
Total magnetization   0.000 μB per atom
Energy   -58.72 eV/f.u.
Space group   No. 12

Geometry as extended XYZ:
```
19
Lattice="6.871 -3.719 0.000 6.871 3.719 0.000 -1.391 0.000 6.671" Properties=species:S:1:pos:R:3 pbc="T T T"
Al 0.000 0.000 0.000
Al 1.562 0.000 6.505
Al 3.275 0.000 4.240
Al 9.076 0.000 2.430
Al 10.789 0.000 0.166
Ga 6.176 2.380 3.335
Ga 6.176 -2.380 3.335
Ag 3.846 1.562 2.112
Ag 1.405 0.000 2.303
Ag 4.015 1.484 6.365
Ag 8.336 1.484 0.305
Ag 8.505 1.562 4.558
Ag 6.408 0.000 1.953
Ag 5.943 0.000 4.718
Ag 3.846 -1.562 2.112
Ag 4.015 -1.484 6.365
Ag 8.336 -1.484 0.305
Ag 10.946 0.000 4.367
Ag 8.505 -1.562 4.558
```


(4)
Computed, not measured: Ho5Er4Th after structural relaxation at the GGA-PBE level of DFT.

Results
Total magnetization   0.000 μB per atom
Energy   -46.78 eV/f.u.
Space group   No. 12

Geometry as extended XYZ:
```
10
Lattice="8.518 -1.767 0.000 8.518 1.767 0.000 -0.101 0.000 10.835" Properties=species:S:1:pos:R:3 pbc="T T T"
Ho 0.000 0.000 0.000
Ho 5.465 0.000 10.296
Ho 5.541 0.000 5.980
Ho 11.395 0.000 4.855
Ho 11.471 0.000 0.539
Er 2.489 0.000 8.085
Er 8.024 0.000 8.141
Er 8.912 0.000 2.694
Er 14.446 0.000 2.750
Th -0.050 0.000 5.417
```


(5)
Computed, not measured: K3B2H7 after structural relaxation at the GGA-PBE level of DFT.

Results
Total magnetization   0.000 μB per atom
Energy   -37.20 eV/f.u.
Space group   No. 65

Geometry as extended XYZ:
```
12
Lattice="1.745 -11.747 0.000 1.745 11.747 0.000 0.000 0.000 3.483" Properties=species:S:1:pos:R:3 pbc="T T T"
K 0.000 0.000 0.000
K 1.745 8.048 0.000
K 1.745 -8.048 0.000
B 1.745 1.746 1.742
B 1.745 -1.746 1.742
H 1.745 10.008 1.742
H 1.745 3.010 1.742
H 1.745 1.738 0.000
H 1.745 0.000 1.742
H 1.745 -1.738 0.000
H 1.745 -3.010 1.742
H 1.745 -10.008 1.742
```


(6)
Computed, not measured: KReCl2 after structural relaxation at the GGA-PBE level of DFT.

Results
Formation energy (no corrections)   0.071 eV/f.u.
Total magnetization   0.808 μB per atom
Space group   No. 123

Geometry as extended XYZ:
```
4
Lattice="5.094 0.000 0.000 0.000 5.094 0.000 0.000 0.000 3.489" Properties=species:S:1:pos:R:3 pbc="T T T"
K 0.000 0.000 0.000
Re 2.547 2.547 1.745
Cl 0.000 2.547 1.745
Cl 2.547 0.000 1.745
```


(7)
Computed, not measured: FeReRu after structural relaxation at the GGA-PBE level of DFT.

Results
Total magnetization   1.109 μB per atom
Energy   -29.31 eV/f.u.
Space group   No. 42

Geometry as extended XYZ:
```
3
Lattice="0.000 2.213 6.477 1.467 0.000 6.477 1.467 2.213 0.000" Properties=species:S:1:pos:R:3 pbc="T T T"
Fe 0.000 0.000 0.000
Re 1.467 2.213 4.358
Ru 1.467 2.213 8.602
```


(8)
Computed, not measured: Ce5GeRu2 after structural relaxation at the GGA-PBE level of DFT.

Results
Total magnetization   0.284 μB per atom
Energy   -55.48 eV/f.u.
Space group   No. 71

Geometry as extended XYZ:
```
8
Lattice="-1.971 3.514 7.156 1.971 -3.514 7.156 1.971 3.514 -7.156" Properties=species:S:1:pos:R:3 pbc="T T T"
Ce 0.000 0.000 0.000
Ce 1.971 2.001 -2.010
Ce 1.971 2.001 2.010
Ce 0.000 1.513 5.146
Ce 0.000 1.513 9.165
Ge 0.000 3.514 0.000
Ru 0.000 0.000 2.559
Ru 0.000 0.000 11.752
```